The following is a PBE calculation of an optimized crystal structure of Li3Pm2YTe6, from Alexandria.

a b c (Å): 7.630 13.217 7.524
angles (deg): 90.00 109.77 90.00
Space group C2/m (No. 12)
Unique sites:
1 Li 0.000 0.000 0.000 (multiplicity 2)
2 Li 0.000 0.333 0.000 (multiplicity 4)
3 Pm 0.000 0.167 0.500 (multiplicity 4)
4 Y 0.000 0.500 0.500 (multiplicity 2)
5 Te 0.241 0.500 0.241 (multiplicity 4)
6 Te 0.250 0.164 0.241 (multiplicity 8)

Values from the calculation:
E_form (uncorrected)   -1.302 eV per atom
Crystal system   monoclinic
Total DFT energy (no corrections)   -4.68 eV per atom
M_tot   0.0 μB per formula unit